1.
A relaxed structure of KLiBi, computed with PBE.

a b c (Å): 4.0275 4.0275 12.3334
angles (deg): 90.00 90.00 90.00
Closest atoms and distances in Å follow each position.
Space group I4mm (No. 107)
Symmetry-distinct sites (fractional):
K 0.0000 0.0000 0.0000 [2 per cell]  1 Li 3.32, 1 Bi 3.67
Li 0.0000 0.0000 0.7304 [2 per cell]  4 Bi 2.96
Bi 0.0000 0.0000 0.2972 [2 per cell]  4 Li 2.96

Properties
Relative energy among the computed polymorphs in eV/atom: 0.049
Total moment in μB/f.u.: 0.00
Energy in eV per atom: -2.6095
Formation energy from the elements in meV/atom: -312

2.
A relaxed structure of K2Li2Bi, computed with PBE.

a b c (Å): 7.6424 7.6424 5.9473
angles (deg): 90.00 90.00 90.00
Closest atoms and distances in Å follow each position.
Space group P4/mbm (No. 127)
Symmetry-distinct sites (fractional):
K 0.1963 0.3037 0.0000 [4 per cell]  2 Li 3.36
Li 0.1585 0.6585 0.5000 [4 per cell]  2 Bi 2.88
Bi 0.0000 0.0000 0.5000 [2 per cell]  4 Li 2.88

Properties
Relative energy among the computed polymorphs in eV/atom: 0.132
Total moment in μB/f.u.: 0.86
Energy in eV per atom: -2.1957
Formation energy from the elements in meV/atom: -215

3.
A relaxed structure of K2Li2Bi, computed with PBE.

a b c (Å): 4.8459 4.8459 30.8377
angles (deg): 90.00 90.00 120.00
Closest atoms and distances in Å follow each position.
Space group R-3m (No. 166, hexagonal axes)
Symmetry-distinct sites (fractional):
K 0.0000 0.0000 0.0702 [6 per cell]  4 Li 3.40-3.79
Li 0.0000 0.0000 0.1804 [6 per cell]  3 Bi 2.83, 3 Li 2.92
Bi 0.0000 0.0000 0.5000 [3 per cell]  6 Li 2.83

Properties
Relative energy among the computed polymorphs in eV/atom: 0.000
Total moment in μB/f.u.: 0.00
Energy in eV per atom: -2.3280
Formation energy from the elements in meV/atom: -347

4.
A relaxed structure of KLiBi, computed with PBE.

a b c (Å): 5.3115 5.3115 3.8393
angles (deg): 90.00 90.00 120.00
Closest atoms and distances in Å follow each position.
Space group P-6m2 (No. 187)
Symmetry-distinct sites (fractional):
K 0.0000 0.0000 0.0000 [1 per cell]  6 Li 3.62, 6 Bi 3.62, 2 K 3.84
Li 0.3333 0.6667 0.5000 [1 per cell]  3 Bi 3.07
Bi 0.6667 0.3333 0.5000 [1 per cell]  3 Li 3.07

Properties
Relative energy among the computed polymorphs in eV/atom: 0.020
Total moment in μB/f.u.: 0.00
Energy in eV per atom: -2.6387
Formation energy from the elements in meV/atom: -341

5.
A relaxed structure of KLiBi, computed with PBE.

a b c (Å): 6.8228 9.7585 12.1985
angles (deg): 90.00 90.00 90.00
Closest atoms and distances in Å follow each position.
Space group Cmce (No. 64)
Symmetry-distinct sites (fractional):
K 0.0000 0.1789 0.0229 [8 per cell]  2 Li 3.35-3.66, 3 K 3.54-3.72, 4 Bi 3.64-3.75
Li 0.0000 0.0878 0.2880 [8 per cell]  4 Bi 2.95-3.07
Bi 0.2500 0.1547 0.7500 [8 per cell]  4 Li 2.95-3.07

Properties
Relative energy among the computed polymorphs in eV/atom: 0.043
Total moment in μB/f.u.: 0.00
Energy in eV per atom: -2.6155
Formation energy from the elements in meV/atom: -318

6.
A relaxed structure of KLi2Bi, computed with PBE.

a b c (Å): 4.8843 4.8843 17.5453
angles (deg): 90.00 90.00 120.00
Closest atoms and distances in Å follow each position.
Space group R-3m (No. 166, hexagonal axes)
Symmetry-distinct sites (fractional):
K 0.0000 0.0000 0.0000 [3 per cell]  2 Li 3.35
Li 0.0000 0.0000 0.1911 [6 per cell]  3 Bi 2.85, 3 Li 2.95
Bi 0.0000 0.0000 0.5000 [3 per cell]  6 Li 2.85

Properties
Total moment in μB/f.u.: 0.00
Energy in eV per atom: -2.6728
Formation energy from the elements in meV/atom: -471

7.
A relaxed structure of KLi4Bi4, computed with PBE.

a b c (Å): 9.7598 9.7598 5.7123
angles (deg): 90.00 90.00 90.00
Closest atoms and distances in Å follow each position.
Space group P4_2/n (No. 86, origin choice 2)
Symmetry-distinct sites (fractional):
K 0.2500 0.2500 0.2500 [2 per cell]  4 Bi 3.77, 4 Li 3.83
Li 0.0930 0.6029 0.1329 [8 per cell]  5 Bi 2.85-3.04, 1 Li 3.10
Bi 0.0951 0.9029 0.1342 [8 per cell]  5 Li 2.85-3.04, 1 Bi 3.07

Properties
Total moment in μB/f.u.: 0.00
Energy in eV per atom: -2.9685
Formation energy from the elements in meV/atom: -271

8.
A relaxed structure of K2LiMg3Bi4, computed with PBE.

a b c (Å): 5.0632 5.0632 12.3486
angles (deg): 90.00 90.00 90.00
Closest atoms and distances in Å follow each position.
Space group P-4m2 (No. 115)
Symmetry-distinct sites (fractional):
K 0.0000 0.5000 0.2394 [2 per cell]  8 Bi 3.84-4.09, 6 Mg 3.87-3.89, 2 Li 3.89
Li 0.5000 0.5000 0.0000 [1 per cell]  4 Bi 2.98
Mg 0.0000 0.0000 0.0000 [1 per cell]  4 Bi 2.98
Mg 0.0000 0.5000 0.6415 [2 per cell]  5 Bi 2.86-3.08
Bi 0.0000 0.0000 0.5000 [1 per cell]  4 Mg 3.08
Bi 0.0000 0.5000 0.8728 [2 per cell]  3 Mg 2.86-2.98, 2 Li 2.98
Bi 0.5000 0.5000 0.5000 [1 per cell]  4 Mg 3.08

Properties
Total moment in μB/f.u.: 0.00
Energy in eV per atom: -2.8157
Formation energy from the elements in meV/atom: -374